Entry 1:
## Tb4Y3ErSe8 (PBE)

Data for a relaxed Tb4Y3ErSe8 crystal.

```
16
Lattice="4.0841 2.3580 6.6779 -4.0841 2.3580 6.6779 0.0000 -4.7160 6.6779" Properties=species:S:1:pos:R:3 pbc="T T T"
Tb 0.0000 0.0000 0.0000
Tb -2.0421 -1.1790 6.6779
Tb -2.0421 1.1790 13.3558
Tb 0.0000 2.3580 6.6779
Y -4.0841 0.0000 10.0169
Y -2.0421 1.1790 3.3390
Y 2.0421 1.1790 3.3390
Er 0.0000 0.0000 10.0169
Se 0.0000 0.0000 5.0025
Se 0.0000 -2.3406 8.3657
Se -2.0270 1.1703 8.3657
Se -2.0270 -1.1703 11.6680
Se 2.0270 1.1703 8.3657
Se 2.0270 -1.1703 11.6681
Se 0.0000 2.3406 11.6681
Se 0.0000 0.0000 15.0313
```

Entry 2:
## MgSi3Pt (PBE)

Data for a relaxed MgSi3Pt crystal.

```
5
Lattice="4.7744 0.0000 0.0000 0.0000 4.7744 0.0000 0.0000 0.0000 4.7744" Properties=species:S:1:pos:R:3 pbc="T T T"
Mg 0.0000 0.0000 0.0000
Si 0.0000 2.3872 2.3872
Si 2.3872 0.0000 2.3872
Si 2.3872 2.3872 0.0000
Pt 2.3872 2.3872 2.3872
```

Here are the calculated energy relative to the elements, uncorrected numbers, same order: -1755.3, 455.5 (meV/atom).